[1]
Computed, not measured: a relaxed ZrFe2BIr crystal at the PBE level of DFT.

a b c (Å): 3.971 3.971 4.098
angles (deg): 90.00 90.00 90.00
Atoms (fractional coordinates):
Zr: 0.000 0.000 0.000
Fe: 0.000 0.500 0.500
Fe: 0.500 0.000 0.500
B: 0.500 0.500 0.500
Ir: 0.500 0.500 0.000

Values from the calculation:
DFT formation energy, eV per atom: -0.39

---

[2]
Computed, not measured: a relaxed Zr2FeBIr crystal at the PBE level of DFT.

a b c (Å): 5.004 5.004 4.388
angles (deg): 90.00 90.00 90.00
Atoms (fractional coordinates):
Zr: 0.000 0.500 0.000
Zr: 0.500 0.000 0.000
Fe: 0.000 0.000 0.500
B: 0.500 0.500 0.500
Ir: 0.000 0.000 0.000

Values from the calculation:
DFT formation energy, eV per atom: 1.27

---

[3]
Computed, not measured: a relaxed KFeB2 crystal at the PBE level of DFT.

a b c (Å): 6.002 6.002 6.002
angles (deg): 120.25 120.25 89.56
Atoms (fractional coordinates):
K: 0.375 0.625 0.750
K: 0.625 0.375 0.250
Fe: 0.125 0.875 0.250
Fe: 0.875 0.125 0.750
B: 0.000 0.000 0.000
B: 0.000 0.000 0.500
B: 0.000 0.500 0.000
B: 0.500 0.000 0.500

Values from the calculation:
DFT formation energy, eV per atom: 0.59
Excess energy over the best structure of this formula in the dataset, eV per formula unit: 0.00

---

[4]
Computed, not measured: a relaxed KFeB2 crystal at the PBE level of DFT.

a b c (Å): 4.185 4.185 4.185
angles (deg): 60.00 60.00 60.00
Atoms (fractional coordinates):
K: 0.000 0.000 0.000
Fe: 0.500 0.500 0.500
B: 0.250 0.250 0.250
B: 0.750 0.750 0.750

Values from the calculation:
DFT formation energy, eV per atom: 2.09
Excess energy over the best structure of this formula in the dataset, eV per formula unit: 6.02

---

[5]
Computed, not measured: a relaxed KFe2B crystal at the PBE level of DFT.

a b c (Å): 6.020 6.020 6.020
angles (deg): 120.09 120.09 89.85
Atoms (fractional coordinates):
K: 0.375 0.625 0.750
K: 0.625 0.375 0.250
Fe: 0.000 0.000 0.000
Fe: 0.000 0.000 0.500
Fe: 0.000 0.500 0.000
Fe: 0.500 0.000 0.500
B: 0.125 0.875 0.250
B: 0.875 0.125 0.750

Values from the calculation:
DFT formation energy, eV per atom: 0.87

---

[6]
Computed, not measured: a relaxed K2Fe4B crystal at the PBE level of DFT.

a b c (Å): 11.080 11.080 11.080
angles (deg): 159.46 159.46 29.21
Atoms (fractional coordinates):
K: 0.168 0.168 0.000
K: 0.832 0.832 0.000
Fe: 0.000 0.500 0.500
Fe: 0.414 0.414 0.000
Fe: 0.500 0.000 0.500
Fe: 0.586 0.586 0.000
B: 0.500 0.500 0.000

Values from the calculation:
DFT formation energy, eV per atom: 0.79

---

[7]
Computed, not measured: a relaxed KLaFe2B crystal at the PBE level of DFT.

a b c (Å): 4.718 4.718 5.245
angles (deg): 90.00 90.00 90.00
Atoms (fractional coordinates):
K: 0.000 0.000 0.000
La: 0.500 0.500 0.500
Fe: 0.000 0.500 0.500
Fe: 0.500 0.000 0.500
B: 0.500 0.500 0.000

Values from the calculation:
DFT formation energy, eV per atom: 1.92

---

Number 1: E_tot -8.594 eV/atom. Number 2: E_tot -6.949 eV/atom. Number 3: E_tot -5.142 eV/atom. Number 4: E_tot -3.636 eV/atom. Number 5: E_tot -5.302 eV/atom. Number 6: E_tot -5.312 eV/atom. Number 7: E_tot -4.007 eV/atom.